Compound: GdPu2Mg
Source: Alexandria via LeMat-Bulk
Functional: PBE-GGA
Structure: relaxed

Computed properties:
Energy above the most stable polymorph in this dataset (meV/atom): 204
Density (g cm⁻³): 9.61
D(E_F) (states/eV/f.u.): 17.3
ΔH_f (0 K) (eV per atom): 0.3577
M_tot (μB per formula unit): 4.9
DFT total energy (eV/atom): -10.727

a b c (Å): 3.3032 3.3032 12.3975
angles (deg): 82.34 82.34 60.00
Last column: nearest neighbours and their distance in Å.
Element x y z (fractional)
Pu 0.9128 0.9128 0.2617  1 Mg 3.21, 6 Pu 3.30, 3 Gd 3.49
Pu 0.0872 0.0872 0.7383  1 Mg 3.21, 6 Pu 3.30, 3 Gd 3.49
Gd 0.5000 0.5000 0.5000  6 Gd 3.30, 6 Pu 3.49
Mg 0.0000 0.0000 0.0000  2 Pu 3.21, 6 Mg 3.30